# 1
Here is an optimized crystal structure of CsGaNi2Pd from Alexandria. Energies are from PBE.

Lattice parameters (Å, degrees): 4.7377 4.7377 5.8150 90.00 90.00 90.00
Atoms (fractional coordinates):
Cs 0.0000 0.0000 0.0000
Ga 0.0000 0.0000 0.5000
Ni 0.0000 0.5000 0.0000
Ni 0.5000 0.0000 0.0000
Pd 0.5000 0.5000 0.5000

Properties
Its density of states at the Fermi level is 0.565 states/eV per atom. The value obtained for the calculated volume is 130.52 Å³ per cell. For the formation energy from the elements, the calculation gives 1.8961 eV/atom. The calculation puts the total energy at -0.0820 Ha/atom.



# 2
Here is an optimized crystal structure of CsRb2GaNi from Alexandria. Energies are from PBE.

Lattice parameters (Å, degrees): 6.6948 6.6948 6.9373 90.00 90.00 90.00
Atoms (fractional coordinates):
Cs 0.0000 0.0000 0.0000
Rb 0.0000 0.5000 0.5000
Rb 0.5000 0.0000 0.5000
Ga 0.0000 0.0000 0.5000
Ni 0.5000 0.5000 0.0000

Properties
Its density of states at the Fermi level is 3.095 states/eV per atom. The value obtained for the calculated volume is 310.93 Å³ per cell. For the formation energy from the elements, the calculation gives 0.7916 eV/atom. The calculation puts the total energy at -0.0561 Ha/atom.



# 3
Here is an optimized crystal structure of Cs2GaNiTe from Alexandria. Energies are from PBE.

Lattice parameters (Å, degrees): 7.3767 7.3767 5.6403 90.00 90.00 90.00
Atoms (fractional coordinates):
Cs 0.0000 0.5000 0.0000
Cs 0.5000 0.0000 0.0000
Ga 0.0000 0.0000 0.5000
Ni 0.5000 0.5000 0.5000
Te 0.0000 0.0000 0.0000

Properties
Its density of states at the Fermi level is 0.663 states/eV per atom. The value obtained for the calculated volume is 306.92 Å³ per cell. The calculation puts the total energy at -0.0872 Ha/atom.



# 4
Here is an optimized crystal structure of CsTlGa2Ni from Alexandria. Energies are from PBE.

Lattice parameters (Å, degrees): 6.0785 6.0785 6.4756 90.00 90.00 90.00
Atoms (fractional coordinates):
Cs 0.0000 0.0000 0.0000
Tl 0.0000 0.0000 0.5000
Ga 0.0000 0.5000 0.0000
Ga 0.5000 0.0000 0.0000
Ni 0.5000 0.5000 0.5000

Properties
Its density of states at the Fermi level is 2.675 states/eV per atom. The value obtained for the calculated volume is 239.26 Å³ per cell. For the formation energy from the elements, the calculation gives 1.6668 eV/atom. The calculation puts the total energy at -0.0494 Ha/atom.



# 5
Here is an optimized crystal structure of CsNpGaO6 from Alexandria. Energies are from PBE.

Lattice parameters (Å, degrees): 7.5207 7.5207 7.5207 123.42 115.93 90.69
Atoms (fractional coordinates):
Cs 0.3639 0.1139 0.2500
Cs 0.6361 0.8861 0.7500
Np 0.0000 0.5000 0.5000
Np 0.5000 0.5000 0.0000
Ga 0.0000 0.0000 0.5000
Ga 0.0000 0.5000 0.0000
O 0.0545 0.4272 0.2397
O 0.0545 0.8148 0.6273
O 0.0679 0.8179 0.2500
O 0.3125 0.1852 0.7397
O 0.3125 0.5728 0.1273
O 0.3226 0.5726 0.7500
O 0.6774 0.4274 0.2500
O 0.6875 0.4272 0.8727
O 0.6875 0.8148 0.2603
O 0.9321 0.1821 0.7500
O 0.9455 0.1852 0.3727
O 0.9455 0.5728 0.7603

Properties
Its density of states at the Fermi level is 0.674 states/eV per atom. The value obtained for the calculated volume is 300.66 Å³ per cell. The calculation puts the total energy at -0.2634 Ha/atom.



# 6
Here is an optimized crystal structure of Cs2NpGaO6 from Alexandria. Energies are from PBE.

Lattice parameters (Å, degrees): 6.6585 6.6585 5.4190 90.00 90.00 120.00
Atoms (fractional coordinates):
Cs 0.3333 0.6667 0.3079
Cs 0.6667 0.3333 0.6921
Np 0.0000 0.0000 0.0000
Ga 0.0000 0.0000 0.5000
O 0.1329 0.2657 0.7508
O 0.1329 0.8671 0.7508
O 0.2657 0.1329 0.2492
O 0.7343 0.8671 0.7508
O 0.8671 0.1329 0.2492
O 0.8671 0.7343 0.2492

Properties
The value obtained for the calculated volume is 208.07 Å³ per cell. The calculation puts the total energy at -0.2502 Ha/atom.



# 7
Here is an optimized crystal structure of Cs2NpGa2O6 from Alexandria. Energies are from PBE.

Lattice parameters (Å, degrees): 7.1375 7.1375 7.1375 50.47 50.47 50.47
Atoms (fractional coordinates):
Cs 0.2245 0.2245 0.2245
Cs 0.7755 0.7755 0.7755
Np 0.0000 0.0000 0.0000
Ga 0.4329 0.4329 0.4329
Ga 0.5671 0.5671 0.5671
O 0.2275 0.2275 0.7355
O 0.2275 0.7355 0.2275
O 0.2645 0.7725 0.7725
O 0.7355 0.2275 0.2275
O 0.7725 0.2645 0.7725
O 0.7725 0.7725 0.2645

Properties
The value obtained for the calculated volume is 199.29 Å³ per cell. The calculation puts the total energy at -0.2457 Ha/atom.



# 8
Here is an optimized crystal structure of Cs2NpGaS5 from Alexandria. Energies are from PBE.

Lattice parameters (Å, degrees): 10.1460 10.1460 14.8977 90.00 90.00 157.03
Atoms (fractional coordinates):
Cs 0.1178 0.8822 0.5000
Cs 0.1288 0.8712 0.1376
Cs 0.8712 0.1288 0.6376
Cs 0.8822 0.1178 0.0000
Np 0.1987 0.8013 0.8379
Np 0.8013 0.1987 0.3379
Ga 0.4296 0.5704 0.2415
Ga 0.5704 0.4296 0.7415
S 0.0629 0.9371 0.8356
S 0.3005 0.6995 0.4503
S 0.3119 0.6881 0.2156
S 0.3203 0.6797 0.8226
S 0.4904 0.5096 0.1219
S 0.5096 0.4904 0.6219
S 0.6797 0.3203 0.3226
S 0.6881 0.3119 0.7156
S 0.6995 0.3005 0.9503
S 0.9371 0.0629 0.3356

Properties
Its density of states at the Fermi level is 0.533 states/eV per atom. The value obtained for the calculated volume is 598.45 Å³ per cell. The calculation puts the total energy at -0.1959 Ha/atom.



# 9
Here is an optimized crystal structure of Cs2NpGa2S6 from Alexandria. Energies are from PBE.

Lattice parameters (Å, degrees): 8.5985 8.5985 8.5985 50.98 50.98 50.98
Atoms (fractional coordinates):
Cs 0.2175 0.2175 0.2175
Cs 0.7825 0.7825 0.7825
Np 0.0000 0.0000 0.0000
Ga 0.4018 0.4018 0.4018
Ga 0.5982 0.5982 0.5982
S 0.2384 0.2384 0.7518
S 0.2384 0.7518 0.2384
S 0.2482 0.7616 0.7616
S 0.7518 0.2384 0.2384
S 0.7616 0.2482 0.7616
S 0.7616 0.7616 0.2482

Properties
Its density of states at the Fermi level is 0.534 states/eV per atom. The value obtained for the calculated volume is 353.90 Å³ per cell. The calculation puts the total energy at -0.1873 Ha/atom.



# 10
Here is an optimized crystal structure of Cs3Np3GaS8 from Alexandria. Energies are from PBE.

Lattice parameters (Å, degrees): 8.1449 8.1449 9.3639 115.79 115.79 59.77
Atoms (fractional coordinates):
Cs 0.0000 0.0000 0.0000
Cs 0.0000 0.5000 0.0000
Cs 0.5000 0.0000 0.0000
Np 0.0000 0.5000 0.5000
Np 0.5000 0.0000 0.5000
Np 0.5000 0.5000 0.5000
Ga 0.0000 0.0000 0.5000
S 0.2188 0.7301 0.6675
S 0.2245 0.2245 0.6708
S 0.2699 0.7812 0.3325
S 0.2720 0.2720 0.3186
S 0.7280 0.7280 0.6814
S 0.7301 0.2188 0.6675
S 0.7755 0.7755 0.3292
S 0.7812 0.2699 0.3325

Properties
Its density of states at the Fermi level is 1.564 states/eV per atom. The value obtained for the calculated volume is 464.27 Å³ per cell. The calculation puts the total energy at -0.2331 Ha/atom.



# 11
Here is an optimized crystal structure of Cs2NpGaS4 from Alexandria. Energies are from PBE.

Lattice parameters (Å, degrees): 14.9626 13.4127 7.9708 84.75 63.21 32.04
Atoms (fractional coordinates):
Cs 0.0534 0.0534 0.6966
Cs 0.3034 0.3034 0.9466
Cs 0.6966 0.6966 0.0534
Cs 0.9466 0.9466 0.3034
Np 0.1250 0.1250 0.1250
Np 0.8750 0.8750 0.8750
Ga 0.3750 0.3750 0.3750
Ga 0.6250 0.6250 0.6250
S 0.0139 0.6356 0.5461
S 0.3045 0.5461 0.6356
S 0.3644 0.9861 0.6955
S 0.4539 0.6955 0.9861
S 0.5461 0.3045 0.0139
S 0.6356 0.0139 0.3045
S 0.6955 0.4539 0.3644
S 0.9861 0.3644 0.4539

Properties
Its density of states at the Fermi level is 0.448 states/eV per atom. The value obtained for the calculated volume is 598.06 Å³ per cell. The calculation puts the total energy at -0.1956 Ha/atom.



# 12
Here is an optimized crystal structure of Cs2NpGa2Se6 from Alexandria. Energies are from PBE.

Lattice parameters (Å, degrees): 8.9075 8.9075 8.9075 51.70 51.70 51.70
Atoms (fractional coordinates):
Cs 0.2212 0.2212 0.2212
Cs 0.7788 0.7788 0.7788
Np 0.0000 0.0000 0.0000
Ga 0.4028 0.4028 0.4028
Ga 0.5972 0.5972 0.5972
Se 0.2391 0.2391 0.7585
Se 0.2391 0.7585 0.2391
Se 0.2415 0.7609 0.7609
Se 0.7585 0.2391 0.2391
Se 0.7609 0.2415 0.7609
Se 0.7609 0.7609 0.2415

Properties
Its density of states at the Fermi level is 0.514 states/eV per atom. The value obtained for the calculated volume is 402.10 Å³ per cell. The calculation puts the total energy at -0.1703 Ha/atom.



# 13
Here is an optimized crystal structure of Cs2NpGaSe5 from Alexandria. Energies are from PBE.

Lattice parameters (Å, degrees): 10.6675 10.6675 15.3778 90.00 90.00 157.43
Atoms (fractional coordinates):
Cs 0.1264 0.8736 0.5000
Cs 0.1278 0.8722 0.1353
Cs 0.8722 0.1278 0.6353
Cs 0.8736 0.1264 0.0000
Np 0.1968 0.8032 0.8324
Np 0.8032 0.1968 0.3324
Ga 0.4295 0.5705 0.2353
Ga 0.5705 0.4295 0.7353
Se 0.0601 0.9399 0.8329
Se 0.3039 0.6961 0.4503
Se 0.3112 0.6888 0.2051
Se 0.3204 0.6796 0.8186
Se 0.4897 0.5103 0.1094
Se 0.5103 0.4897 0.6094
Se 0.6796 0.3204 0.3186
Se 0.6888 0.3112 0.7051
Se 0.6961 0.3039 0.9503
Se 0.9399 0.0601 0.3329

Properties
Its density of states at the Fermi level is 0.701 states/eV per atom. The value obtained for the calculated volume is 671.77 Å³ per cell. The calculation puts the total energy at -0.1794 Ha/atom.



# 14
Here is an optimized crystal structure of Cs3Np3GaSe8 from Alexandria. Energies are from PBE.

Lattice parameters (Å, degrees): 8.5068 8.5068 9.7429 115.92 115.92 59.82
Atoms (fractional coordinates):
Cs 0.0000 0.0000 0.0000
Cs 0.0000 0.5000 0.0000
Cs 0.5000 0.0000 0.0000
Np 0.0000 0.5000 0.5000
Np 0.5000 0.0000 0.5000
Np 0.5000 0.5000 0.5000
Ga 0.0000 0.0000 0.5000
Se 0.2250 0.7259 0.6745
Se 0.2255 0.2255 0.6741
Se 0.2709 0.2709 0.3144
Se 0.2741 0.7750 0.3255
Se 0.7259 0.2250 0.6745
Se 0.7291 0.7291 0.6856
Se 0.7745 0.7745 0.3259
Se 0.7750 0.2741 0.3255

Properties
Its density of states at the Fermi level is 1.479 states/eV per atom. The value obtained for the calculated volume is 526.29 Å³ per cell. The calculation puts the total energy at -0.2165 Ha/atom.



# 15
Here is an optimized crystal structure of Cs3Np3GaTe8 from Alexandria. Energies are from PBE.

Lattice parameters (Å, degrees): 9.0752 9.0752 10.3973 115.81 115.81 59.98
Atoms (fractional coordinates):
Cs 0.0000 0.0000 0.0000
Cs 0.0000 0.5000 0.0000
Cs 0.5000 0.0000 0.0000
Np 0.0000 0.5000 0.5000
Np 0.5000 0.0000 0.5000
Np 0.5000 0.5000 0.5000
Ga 0.0000 0.0000 0.5000
Te 0.2253 0.7287 0.6788
Te 0.2274 0.2274 0.6799
Te 0.2691 0.2691 0.3086
Te 0.2713 0.7747 0.3212
Te 0.7287 0.2253 0.6788
Te 0.7309 0.7309 0.6914
Te 0.7726 0.7726 0.3201
Te 0.7747 0.2713 0.3212

Properties
Its density of states at the Fermi level is 1.283 states/eV per atom. The value obtained for the calculated volume is 640.97 Å³ per cell. The calculation puts the total energy at -0.1971 Ha/atom.



# 16
Here is an optimized crystal structure of CsGaO2 from Alexandria. Energies are from PBE.

Lattice parameters (Å, degrees): 7.7715 7.7715 7.7715 25.61 25.61 25.61
Atoms (fractional coordinates):
Cs 0.0000 0.0000 0.0000
Ga 0.5096 0.5096 0.5096
O 0.1462 0.1462 0.1462
O 0.5872 0.5872 0.5872

Properties
Its density of states at the Fermi level is 0.000 states/eV per atom. The value obtained for the calculated volume is 77.20 Å³ per cell. The calculation puts the total energy at -0.1732 Ha/atom.



# 17
Here is an optimized crystal structure of CsGaO2 from Alexandria. Energies are from PBE.

Lattice parameters (Å, degrees): 5.8933 11.8283 16.8635 90.00 90.00 90.00
Atoms (fractional coordinates):
Cs 0.2088 0.2431 0.1870
Cs 0.2088 0.2569 0.6870
Cs 0.2485 0.0078 0.5628
Cs 0.2485 0.4922 0.0628
Cs 0.2515 0.5078 0.5628
Cs 0.2515 0.9922 0.0628
Cs 0.2912 0.7431 0.1870
Cs 0.2912 0.7569 0.6870
Cs 0.7088 0.2431 0.3130
Cs 0.7088 0.2569 0.8130
Cs 0.7485 0.0078 0.9372
Cs 0.7485 0.4922 0.4372
Cs 0.7515 0.5078 0.9372
Cs 0.7515 0.9922 0.4372
Cs 0.7912 0.7431 0.3130
Cs 0.7912 0.7569 0.8130
Ga 0.2236 0.2431 0.4373
Ga 0.2236 0.2569 0.9373
Ga 0.2465 0.0044 0.8120
Ga 0.2465 0.4956 0.3120
Ga 0.2535 0.5044 0.8120
Ga 0.2535 0.9956 0.3120
Ga 0.2764 0.7431 0.4373
Ga 0.2764 0.7569 0.9373
Ga 0.7236 0.2431 0.0627
Ga 0.7236 0.2569 0.5627
Ga 0.7465 0.0044 0.6880
Ga 0.7465 0.4956 0.1880
Ga 0.7535 0.5044 0.6880
Ga 0.7535 0.9956 0.1880
Ga 0.7764 0.7431 0.0627
Ga 0.7764 0.7569 0.5627
O 0.0410 0.5134 0.2280
O 0.0410 0.9866 0.7280
O 0.0610 0.7219 0.0151
O 0.0610 0.7781 0.5151
O 0.1935 0.6050 0.3903
O 0.1935 0.8950 0.8903
O 0.2044 0.1479 0.8572
O 0.2044 0.3521 0.3572
O 0.2956 0.6479 0.8572
O 0.2956 0.8521 0.3572
O 0.3065 0.1050 0.3903
O 0.3065 0.3950 0.8903
O 0.4390 0.2219 0.0151
O 0.4390 0.2781 0.5151
O 0.4590 0.0134 0.2280
O 0.4590 0.4866 0.7280
O 0.5410 0.5134 0.2720
O 0.5410 0.9866 0.7720
O 0.5610 0.7219 0.4849
O 0.5610 0.7781 0.9849
O 0.6935 0.6050 0.1097
O 0.6935 0.8950 0.6097
O 0.7044 0.1479 0.6428
O 0.7044 0.3521 0.1428
O 0.7956 0.6479 0.6428
O 0.7956 0.8521 0.1428
O 0.8065 0.1050 0.1097
O 0.8065 0.3950 0.6097
O 0.9390 0.2219 0.4849
O 0.9390 0.2781 0.9849
O 0.9590 0.0134 0.2720
O 0.9590 0.4866 0.7720

Properties
Its density of states at the Fermi level is 0.000 states/eV per atom. The value obtained for the calculated volume is 1175.51 Å³ per cell. The calculation puts the total energy at -0.1916 Ha/atom.



# 18
Here is an optimized crystal structure of CsGaO from Alexandria. Energies are from PBE.

Lattice parameters (Å, degrees): 7.6681 7.6681 7.6681 144.21 116.86 74.75
Atoms (fractional coordinates):
Cs 0.1647 0.1647 0.0000
Cs 0.8353 0.8353 0.0000
Ga 0.3283 0.5000 0.8283
Ga 0.6717 0.5000 0.1717
O 0.3896 0.3896 0.0000
O 0.6104 0.6104 0.0000

Properties
The value obtained for the calculated volume is 230.56 Å³ per cell. The calculation puts the total energy at -0.1473 Ha/atom.



# 19
Here is an optimized crystal structure of Cs4GaO4 from Alexandria. Energies are from PBE.

Lattice parameters (Å, degrees): 7.0341 7.0341 7.0341 100.17 100.17 130.32
Atoms (fractional coordinates):
Cs 0.1139 0.7028 0.8167
Cs 0.2972 0.1139 0.4111
Cs 0.7028 0.8861 0.5889
Cs 0.8861 0.2972 0.1833
Ga 0.5000 0.5000 0.0000
O 0.2962 0.4389 0.7351
O 0.4389 0.7038 0.1428
O 0.5611 0.2962 0.8572
O 0.7038 0.5611 0.2649

Properties
Its density of states at the Fermi level is 0.179 states/eV per atom. The value obtained for the calculated volume is 240.82 Å³ per cell. The calculation puts the total energy at -0.1507 Ha/atom.